Entry 1:
{"formula": "Ce3Pu3Pb5", "functional": "PBE-GGA", "state": "optimized geometry", "lattice": [[10.3832, 0.0000, 0.0000], [-5.1916, 8.9921, 0.0000], [0.0000, 0.0000, 3.5170]], "species": ["Ce", "Ce", "Ce", "Pu", "Pu", "Pu", "Pb", "Pb", "Pb", "Pb", "Pb"], "fractional_positions": [[0.0000, 0.3630, 0.0000], [0.3630, 0.0000, 0.0000], [0.6370, 0.6370, 0.0000], [0.0000, 0.5632, 0.5000], [0.4368, 0.4368, 0.5000], [0.5632, 0.0000, 0.5000], [0.0000, 0.8234, 0.0000], [0.1766, 0.1766, 0.0000], [0.3333, 0.6667, 0.0000], [0.6667, 0.3333, 0.0000], [0.8234, 0.0000, 0.0000]], "spacegroup": "P-62m, No. 189", "energy_ev_per_atom": -7.23}

***

Entry 2:
{"formula": "CePuPb", "functional": "PBE-GGA", "state": "optimized geometry", "lattice": [[-2.1176, 2.1176, 4.7715], [2.1176, -2.1176, 4.7715], [2.1176, 2.1176, -4.7715]], "species": ["Ce", "Pu", "Pb"], "fractional_positions": [[0.0000, 0.0000, 0.0000], [0.6986, 0.6986, 0.0000], [0.3497, 0.3497, 0.0000]], "spacegroup": "I4mm, No. 107", "energy_ev_per_atom": -8.23}

***

Entry 3:
{"formula": "CePu4Pb2", "functional": "PBE-GGA", "state": "optimized geometry", "lattice": [[0.0000, 5.3190, 5.7006], [3.0252, 0.0000, 5.7006], [3.0252, 5.3190, 0.0000]], "species": ["Ce", "Pu", "Pu", "Pu", "Pu", "Pb", "Pb"], "fractional_positions": [[0.0000, 0.0000, 0.0000], [0.0000, 0.0000, 0.5000], [0.2500, 0.2500, 0.2500], [0.5000, 0.5000, 0.0000], [0.7500, 0.7500, 0.7500], [0.3571, 0.3571, 0.6429], [0.6429, 0.6429, 0.3571]], "spacegroup": "Fmmm, No. 69", "energy_ev_per_atom": -10.06}

***

Entry 4:
{"formula": "CePuPb", "functional": "PBE-GGA", "state": "optimized geometry", "lattice": [[5.6181, 0.0000, 0.0000], [-2.8091, 4.8654, 0.0000], [0.0000, 0.0000, 6.4222]], "species": ["Ce", "Ce", "Pu", "Pu", "Pb", "Pb"], "fractional_positions": [[0.3333, 0.6667, 0.2500], [0.6667, 0.3333, 0.7500], [0.0000, 0.0000, 0.2500], [0.0000, 0.0000, 0.7500], [0.3333, 0.6667, 0.7500], [0.6667, 0.3333, 0.2500]], "spacegroup": "P6_3/mmc, No. 194", "energy_ev_per_atom": -8.12}

***

Entry 5:
{"formula": "CePu2Pb2", "functional": "PBE-GGA", "state": "optimized geometry", "lattice": [[-2.5181, 3.6389, 3.9229], [2.5181, -3.6389, 3.9229], [2.5181, 3.6389, -3.9229]], "species": ["Ce", "Pu", "Pu", "Pb", "Pb"], "fractional_positions": [[0.0000, 0.0000, 0.0000], [0.3003, 0.5000, 0.8003], [0.6997, 0.5000, 0.1997], [0.2965, 0.7965, 0.5000], [0.7035, 0.2035, 0.5000]], "spacegroup": "Immm, No. 71", "energy_ev_per_atom": -8.56}

***

Entry 6:
{"formula": "Ce8Pu3Pb2", "functional": "PBE-GGA", "state": "optimized geometry", "lattice": [[9.0941, -3.4001, 0.0000], [9.0941, 3.4001, 0.0000], [-0.1439, 0.0000, 5.7548]], "species": ["Ce", "Ce", "Ce", "Ce", "Ce", "Ce", "Ce", "Ce", "Pu", "Pu", "Pu", "Pb", "Pb"], "fractional_positions": [[0.0482, 0.0482, 0.1899], [0.0622, 0.6570, 0.2736], [0.3416, 0.3416, 0.7599], [0.3430, 0.9378, 0.7264], [0.6570, 0.0622, 0.2736], [0.6584, 0.6584, 0.2401], [0.9378, 0.3430, 0.7264], [0.9518, 0.9518, 0.8101], [0.2829, 0.7171, 0.5000], [0.5000, 0.5000, 0.0000], [0.7171, 0.2829, 0.5000], [0.2213, 0.2213, 0.2412], [0.7787, 0.7787, 0.7588]], "spacegroup": "C2/m, No. 12", "energy_ev_per_atom": -7.56}